Entry 1:
DFT (GGA-PBE) results for crystalline SnGe2F2 at its relaxed geometry.

Cell: 7.2933 7.2933 7.2933 Å, 151.27 151.27 41.07°
Closest atoms and distances in Å follow each position.
Atoms (fractional coordinates):
Sn  0.0000  0.0000  0.0000  8 Ge 3.19
Ge  0.3604  0.3604  0.0000  4 F 2.36
Ge  0.6396  0.6396  0.0000  4 F 2.36
F  0.2500  0.7500  0.5000  4 Ge 2.36, 4 F 2.56
F  0.7500  0.2500  0.5000  4 Ge 2.36, 4 F 2.56

Values from the calculation:
The value obtained for the calculated total energy is -4.23 eV/atom. Its space group is I4/mmm (139). Its energy relative to the elements, uncorrected is -19.205 kcal/mol of atoms. As for the total magnetic moment: 0.00 μB/cell.

Entry 2:
DFT (GGA-PBE) results for crystalline NbFeCuPd at its relaxed geometry.

Cell: 4.3294 4.3294 4.3294 Å, 60.00 60.00 60.00°
Closest atoms and distances in Å follow each position.
Atoms (fractional coordinates):
Nb  0.0000  0.0000  0.0000  4 Fe 2.65, 4 Cu 2.65
Fe  0.2500  0.2500  0.2500  4 Nb 2.65, 4 Pd 2.65
Cu  0.7500  0.7500  0.7500  4 Nb 2.65, 4 Pd 2.65
Pd  0.5000  0.5000  0.5000  4 Fe 2.65, 4 Cu 2.65

Values from the calculation:
The value obtained for the calculated total energy is -6.93 eV/atom. Its space group is F-43m (216). As for the total magnetic moment: 1.93 μB/cell. Its energy of formation from the pure elements is 0.028 eV/atom.

Entry 3:
DFT (GGA-PBE) results for crystalline CsSbPb at its relaxed geometry.

Cell: 4.7244 4.7244 6.9017 Å, 90.00 90.00 120.00°
Closest atoms and distances in Å follow each position.
Atoms (fractional coordinates):
Cs  0.0000  0.0000  0.0000  3 Sb 3.76, 3 Pb 4.00
Sb  0.3333  0.6667  0.6253  3 Pb 3.06
Pb  0.6667  0.3333  0.4236  3 Sb 3.06

Values from the calculation:
The value obtained for the calculated total energy is -3.21 eV/atom. Its space group is P3m1 (156). Its energy relative to the elements, uncorrected is -7.352 kcal/mol of atoms. As for the total magnetic moment: 0.00 μB/cell.

Entry 4:
DFT (GGA-PBE) results for crystalline CrMo4Br at its relaxed geometry.

Cell: 5.2905 5.2905 5.2905 Å, 60.00 60.00 60.00°
Closest atoms and distances in Å follow each position.
Atoms (fractional coordinates):
Cr  0.0000  0.0000  0.0000  12 Mo 3.10, 4 Br 3.24
Mo  0.1255  0.6248  0.6248  6 Mo 2.64-2.65
Mo  0.6248  0.1255  0.6248  6 Mo 2.64-2.65
Mo  0.6248  0.6248  0.1255  6 Mo 2.64-2.65
Mo  0.6248  0.6248  0.6248  6 Mo 2.64-2.65
Br  0.2500  0.2500  0.2500  12 Mo 3.10, 4 Cr 3.24

Values from the calculation:
The value obtained for the calculated total energy is -8.17 eV/atom. Its space group is F-43m (216). Its energy relative to the elements, uncorrected is 21.411 kcal/mol of atoms. As for the total magnetic moment: 2.63 μB/cell.

Entry 5:
DFT (GGA-PBE) results for crystalline TmGeP2 at its relaxed geometry.

Cell: 8.5577 8.5577 8.5577 Å, 23.98 23.98 23.98°
Closest atoms and distances in Å follow each position.
Atoms (fractional coordinates):
Tm  0.0000  0.0000  0.0000  2 P 2.73
Ge  0.5000  0.5000  0.5000  6 P 2.50
P  0.1094  0.1094  0.1094  3 Ge 2.50, 1 Tm 2.73
P  0.8906  0.8906  0.8906  3 Ge 2.50, 1 Tm 2.73

Values from the calculation:
The value obtained for the calculated total energy is -4.79 eV/atom. Its space group is R-3m (166). As for the total magnetic moment: 0.00 μB/cell. Its energy of formation from the pure elements is 0.185 eV/atom.

Entry 6:
DFT (GGA-PBE) results for crystalline Cr2GaH at its relaxed geometry.

Cell: 6.4052 6.4052 6.4052 Å, 24.59 24.59 24.59°
Closest atoms and distances in Å follow each position.
Atoms (fractional coordinates):
Cr  0.0000  0.0000  0.0000  3 H 1.89
Cr  0.2245  0.2245  0.2245  3 H 1.86
Ga  0.7788  0.7788  0.7788  6 Cr 2.62, 6 Ga 2.73
H  0.6109  0.6109  0.6109  6 Cr 1.86-1.89

Values from the calculation:
The value obtained for the calculated total energy is -6.41 eV/atom. Its space group is R3m (160). As for the total magnetic moment: 0.00 μB/cell.

Entry 7:
DFT (GGA-PBE) results for crystalline La4Ag3Ge at its relaxed geometry.

Cell: 3.9102 3.9102 14.3939 Å, 90.00 90.00 90.00°
Closest atoms and distances in Å follow each position.
Atoms (fractional coordinates):
La  0.0000  0.0000  0.1106  1 La 3.18, 4 Ge 3.19, 4 Ag 3.39
La  0.0000  0.0000  0.3714  8 Ag 3.29-3.33
La  0.0000  0.0000  0.6286  8 Ag 3.29-3.33
La  0.0000  0.0000  0.8894  1 La 3.18, 4 Ge 3.19, 4 Ag 3.39
Ag  0.5000  0.5000  0.2474  8 La 3.29-3.39, 1 Ge 3.56, 1 Ag 3.64
Ag  0.5000  0.5000  0.5000  8 La 3.33, 2 Ag 3.64
Ag  0.5000  0.5000  0.7526  8 La 3.29-3.39, 1 Ge 3.56, 1 Ag 3.64
Ge  0.5000  0.5000  0.0000  8 La 3.19, 2 Ag 3.56

Values from the calculation:
The value obtained for the calculated total energy is -4.49 eV/atom. Its space group is P4/mmm (123). As for the total magnetic moment: 0.00 μB/cell. Its energy of formation from the pure elements is -0.379 eV/atom.

Entry 8:
DFT (GGA-PBE) results for crystalline HfZn3Cd at its relaxed geometry.

Cell: 13.1568 13.1568 4.3902 Å, 90.00 90.00 166.60°
Closest atoms and distances in Å follow each position.
Atoms (fractional coordinates):
Hf  0.0696  0.9304  0.7500  12 Zn 2.90-3.01, 2 Hf 3.07
Hf  0.9304  0.0696  0.2500  12 Zn 2.90-3.01, 2 Hf 3.07
Zn  0.3315  0.6685  0.2500  2 Zn 2.53
Zn  0.3795  0.6205  0.7500  3 Zn 2.51-2.53
Zn  0.4756  0.5244  0.7500  3 Zn 2.51-2.54
Zn  0.5244  0.4756  0.2500  3 Zn 2.51-2.54
Zn  0.6205  0.3795  0.2500  3 Zn 2.51-2.53
Zn  0.6685  0.3315  0.7500  2 Zn 2.53
Cd  0.2179  0.7821  0.2500  7 Zn 2.97, 6 Cd 3.07-3.16
Cd  0.7821  0.2179  0.7500  7 Zn 2.97, 6 Cd 3.07-3.16

Values from the calculation:
The value obtained for the calculated total energy is -3.04 eV/atom. Its space group is Cmcm (63). As for the total magnetic moment: 0.00 μB/cell. Its energy of formation from the pure elements is -0.101 eV/atom.